Material: ScZn2Cd
Method: DFT, PBE-GGA
State: relaxed Values from VASP.

```
&SYSTEM
  ibrav = 0, nat = 4, ntyp = 3
/
ATOMIC_SPECIES
Zn 65.41 Zn.upf
Sc 44.96 Sc.upf
Cd 112.41 Cd.upf
CELL_PARAMETERS angstrom
-3.455 1.028 -2.426
-1.875 -1.536 2.019
-1.603 3.792 3.890
ATOMIC_POSITIONS crystal
Zn 0.000 0.191 0.994
Zn 0.500 0.061 0.249
Sc 0.500 0.792 0.793
Cd 0.000 0.456 0.464
```

Output
DFT total energy = -2.6470 eV/atom
Formation enthalpy at 0 K = -0.79 eV/f.u.
Space-group type = Pm, No. 6
M_tot = 0.0 μB/f.u.

***

Material: ScZn2Cd
Method: DFT, PBE-GGA
State: relaxed Values from VASP.

```
&SYSTEM
  ibrav = 0, nat = 8, ntyp = 3
/
ATOMIC_SPECIES
Cd 112.41 Cd.upf
Sc 44.96 Sc.upf
Zn 65.41 Zn.upf
CELL_PARAMETERS angstrom
-0.644 -2.066 -7.184
5.593 -4.917 0.913
0.531 -5.560 -2.367
ATOMIC_POSITIONS crystal
Cd 0.750 0.250 0.500
Cd 0.000 0.000 0.000
Sc 0.250 0.750 0.500
Sc 0.500 0.500 0.000
Zn 0.112 0.625 0.250
Zn 0.638 0.125 0.250
Zn 0.875 0.888 0.750
Zn 0.375 0.362 0.750
```

Output
DFT total energy = -2.3900 eV/atom
Formation enthalpy at 0 K = 0.23 eV/f.u.
Space-group type = I-42d, No. 122
M_tot = 0.0 μB/f.u.

***

Material: Sc4Zn2Cd3
Method: DFT, PBE-GGA
State: relaxed Values from VASP.

```
&SYSTEM
  ibrav = 0, nat = 9, ntyp = 3
/
ATOMIC_SPECIES
Cd 112.41 Cd.upf
Sc 44.96 Sc.upf
Zn 65.41 Zn.upf
CELL_PARAMETERS angstrom
4.858 0.000 0.001
2.429 4.200 0.156
-0.002 -0.335 9.097
ATOMIC_POSITIONS crystal
Cd 0.333 0.333 0.458
Cd 0.667 0.667 0.542
Cd 0.000 0.000 0.000
Sc 0.999 0.002 0.676
Sc 0.334 0.331 0.110
Sc 0.001 0.998 0.324
Sc 0.666 0.669 0.890
Zn 0.332 0.337 0.793
Zn 0.668 0.663 0.207
```

Output
DFT total energy = -3.6756 eV/atom
Formation enthalpy at 0 K = -2.46 eV/f.u.
Space-group type = C2/m, No. 12
M_tot = 0.0 μB/f.u.